[1]
Entry from the Alexandria database: crystalline Cs6HgPd at its relaxed geometry (PBE).

Lattice parameters (Å, degrees): 11.082 11.082 5.045 90.00 90.00 93.42
Positions (direct):
Cs: 0.777 0.502 0.000
Cs: 0.498 0.223 0.000
Cs: 0.331 0.669 0.000
Cs: 0.663 0.929 0.500
Cs: 0.071 0.337 0.500
Cs: 0.047 0.953 0.500
Hg: 0.842 0.158 0.000
Pd: 0.770 0.230 0.500

Space-group type ... No. 38
Energy of formation ... -0.055 eV/atom
Magnetization ... 0.00 μB/f.u.
Uncorrected energy ... -1.382 eV/atom
DOS(E_F) ... 0.644 states/eV per atom

---

[2]
Entry from the Alexandria database: crystalline Cs3Hg3Pd2 at its relaxed geometry (PBE).

Lattice parameters (Å, degrees): 7.023 9.549 16.996 90.00 90.00 90.00
Positions (direct):
Cs: 0.112 0.457 0.394
Cs: 0.612 0.043 0.606
Cs: 0.888 0.543 0.894
Cs: 0.388 0.957 0.106
Cs: 0.888 0.543 0.606
Cs: 0.388 0.957 0.394
Cs: 0.112 0.457 0.106
Cs: 0.612 0.043 0.894
Cs: 0.556 0.285 0.250
Cs: 0.056 0.215 0.750
Cs: 0.444 0.715 0.750
Cs: 0.944 0.785 0.250
Hg: 0.015 0.147 0.250
Hg: 0.515 0.353 0.750
Hg: 0.985 0.853 0.750
Hg: 0.485 0.647 0.250
Hg: 0.620 0.340 0.460
Hg: 0.120 0.160 0.540
Hg: 0.380 0.660 0.960
Hg: 0.880 0.840 0.040
Hg: 0.380 0.660 0.540
Hg: 0.880 0.840 0.460
Hg: 0.620 0.340 0.040
Hg: 0.120 0.160 0.960
Pd: 0.876 0.126 0.406
Pd: 0.376 0.374 0.594
Pd: 0.124 0.874 0.906
Pd: 0.624 0.626 0.094
Pd: 0.124 0.874 0.594
Pd: 0.624 0.626 0.406
Pd: 0.876 0.126 0.094
Pd: 0.376 0.374 0.906

Space-group type ... No. 62
Energy of formation ... -0.172 eV/atom
Energy relative to the lowest polymorph listed for this composition ... 0.022 eV per atom
Magnetization ... 0.00 μB/f.u.
Uncorrected energy ... -1.903 eV/atom
DOS(E_F) ... 0.398 states/eV per atom

---

[3]
Entry from the Alexandria database: crystalline CsHg2Pd at its relaxed geometry (PBE).

Lattice parameters (Å, degrees): 3.687 3.687 8.300 90.00 90.00 90.00
Positions (direct):
Cs: 0.500 0.500 0.500
Hg: 0.000 0.000 0.825
Hg: 0.000 0.000 0.175
Pd: 0.500 0.500 0.000

Space-group type ... No. 123
Energy of formation ... -0.069 eV/atom
Energy relative to the lowest polymorph listed for this composition ... 0.159 eV per atom
Magnetization ... 0.00 μB/f.u.
Uncorrected energy ... -1.731 eV/atom
DOS(E_F) ... 0.366 states/eV per atom

---

[4]
Entry from the Alexandria database: crystalline CsHgPd at its relaxed geometry (PBE).

Lattice parameters (Å, degrees): 3.907 3.907 6.924 106.39 106.39 90.00
Positions (direct):
Cs: 0.003 0.003 0.007
Hg: 0.736 0.736 0.471
Pd: 0.261 0.261 0.522

Space-group type ... No. 107
Energy of formation ... -0.079 eV/atom
Energy relative to the lowest polymorph listed for this composition ... 0.052 eV per atom
Magnetization ... 0.00 μB/f.u.
Uncorrected energy ... -2.195 eV/atom
DOS(E_F) ... 0.261 states/eV per atom

---

[5]
Entry from the Alexandria database: crystalline Cs2Hg2Pd at its relaxed geometry (PBE).

Lattice parameters (Å, degrees): 11.149 11.149 11.149 157.33 157.33 32.28
Positions (direct):
Cs: 0.592 0.592 0.000
Cs: 0.408 0.408 0.000
Hg: 0.750 0.250 0.500
Hg: 0.250 0.750 0.500
Pd: 0.000 0.000 0.000

Space-group type ... No. 139
Energy of formation ... 0.037 eV/atom
Energy relative to the lowest polymorph listed for this composition ... 0.214 eV per atom
Magnetization ... 0.00 μB/f.u.
Uncorrected energy ... -1.464 eV/atom
DOS(E_F) ... 0.680 states/eV per atom

---

[6]
Entry from the Alexandria database: crystalline Cs2Hg5Pd at its relaxed geometry (PBE).

Lattice parameters (Å, degrees): 7.164 7.164 7.735 117.59 117.58 90.00
Positions (direct):
Cs: 0.284 0.784 0.568
Cs: 0.784 0.284 0.568
Hg: 0.787 0.272 0.060
Hg: 0.272 0.272 0.060
Hg: 0.787 0.787 0.060
Hg: 0.272 0.787 0.060
Hg: 0.675 0.675 0.350
Pd: 0.915 0.915 0.830

Space-group type ... No. 107
Energy of formation ... -0.213 eV/atom
Energy relative to the lowest polymorph listed for this composition ... 0.010 eV per atom
Magnetization ... 0.00 μB/f.u.
Uncorrected energy ... -1.265 eV/atom
DOS(E_F) ... 0.260 states/eV per atom

---

[7]
Entry from the Alexandria database: crystalline Cs3Hg9Pd2 at its relaxed geometry (PBE).

Lattice parameters (Å, degrees): 7.537 7.537 9.231 90.00 90.00 120.00
Positions (direct):
Cs: 0.667 0.333 0.670
Cs: 0.000 0.000 0.000
Cs: 0.333 0.667 0.330
Hg: 0.151 0.849 0.648
Hg: 0.151 0.303 0.648
Hg: 0.500 0.500 0.000
Hg: 0.849 0.697 0.352
Hg: 0.303 0.151 0.352
Hg: 0.697 0.849 0.648
Hg: 0.849 0.151 0.352
Hg: 0.000 0.500 0.000
Hg: 0.500 0.000 0.000
Pd: 0.667 0.333 0.188
Pd: 0.333 0.667 0.812

Space-group type ... No. 164
Energy of formation ... -0.228 eV/atom
Magnetization ... 0.00 μB/f.u.
Uncorrected energy ... -1.347 eV/atom
DOS(E_F) ... 0.332 states/eV per atom

---

[8]
Entry from the Alexandria database: crystalline Cs3Hg2Pd at its relaxed geometry (PBE).

Lattice parameters (Å, degrees): 5.001 15.245 14.786 90.00 90.00 90.00
Positions (direct):
Cs: 0.250 0.374 0.063
Cs: 0.750 0.626 0.937
Cs: 0.750 0.874 0.437
Cs: 0.250 0.126 0.563
Cs: 0.250 0.714 0.206
Cs: 0.750 0.286 0.794
Cs: 0.750 0.214 0.294
Cs: 0.250 0.786 0.706
Cs: 0.250 0.447 0.393
Cs: 0.750 0.553 0.607
Cs: 0.750 0.947 0.107
Cs: 0.250 0.053 0.893
Hg: 0.250 0.681 0.450
Hg: 0.750 0.319 0.550
Hg: 0.750 0.181 0.050
Hg: 0.250 0.819 0.950
Hg: 0.250 0.030 0.285
Hg: 0.750 0.970 0.715
Hg: 0.750 0.530 0.215
Hg: 0.250 0.470 0.785
Pd: 0.250 0.135 0.130
Pd: 0.750 0.865 0.870
Pd: 0.750 0.635 0.370
Pd: 0.250 0.365 0.630

Space-group type ... No. 62
Energy of formation ... -0.189 eV/atom
Energy relative to the lowest polymorph listed for this composition ... 0.000 eV per atom
Magnetization ... 0.00 μB/f.u.
Uncorrected energy ... -1.582 eV/atom
DOS(E_F) ... 0.577 states/eV per atom

---

[9]
Entry from the Alexandria database: crystalline Cs3Hg7Pd2 at its relaxed geometry (PBE).

Lattice parameters (Å, degrees): 5.473 5.473 15.446 100.20 100.20 90.00
Positions (direct):
Cs: 0.315 0.315 0.629
Cs: 0.685 0.685 0.371
Cs: 0.500 0.500 0.000
Hg: 0.000 0.000 0.000
Hg: 0.906 0.406 0.812
Hg: 0.406 0.906 0.812
Hg: 0.094 0.594 0.188
Hg: 0.594 0.094 0.188
Hg: 0.184 0.184 0.369
Hg: 0.816 0.816 0.631
Pd: 0.092 0.092 0.184
Pd: 0.908 0.908 0.816

Space-group type ... No. 139
Energy of formation ... -0.268 eV/atom
Energy relative to the lowest polymorph listed for this composition ... 0.000 eV per atom
Magnetization ... 0.00 μB/f.u.
Uncorrected energy ... -1.523 eV/atom
DOS(E_F) ... 0.230 states/eV per atom

---

[10]
Entry from the Alexandria database: crystalline Cs2Hg2Pd at its relaxed geometry (PBE).

Lattice parameters (Å, degrees): 7.749 7.749 5.952 90.00 90.00 90.00
Positions (direct):
Cs: 0.177 0.677 0.500
Cs: 0.677 0.823 0.500
Cs: 0.823 0.323 0.500
Cs: 0.323 0.177 0.500
Hg: 0.346 0.846 0.000
Hg: 0.846 0.654 0.000
Hg: 0.654 0.154 0.000
Hg: 0.154 0.346 0.000
Pd: 0.000 0.000 0.000
Pd: 0.500 0.500 0.000

Space-group type ... No. 127
Energy of formation ... -0.086 eV/atom
Energy relative to the lowest polymorph listed for this composition ... 0.092 eV per atom
Magnetization ... 0.00 μB/f.u.
Uncorrected energy ... -1.587 eV/atom
DOS(E_F) ... 0.393 states/eV per atom